The following is a GGA+U calculation of a geometry-optimized Ba4Pa3VO12 structure, from Alexandria via LeMat-Bulk.

Cell: 8.8283 8.8283 8.8283 Å, 90.00 90.00 90.00°
Last column: nearest neighbours and their distance in Å.
Space group Im-3m (No. 229)
Inequivalent atoms, fractional coordinates:
Ba (0.2500, 0.2500, 0.2500) [8 per cell]  12 O 3.12
Pa (0.0000, 0.0000, 0.5000) [6 per cell]  6 O 2.16-2.21
V (0.0000, 0.0000, 0.0000) [2 per cell]  6 O 2.25
O (0.0000, 0.0000, 0.2553) [12 per cell]  1 Pa 2.16, 1 V 2.25
O (0.0000, 0.2500, 0.5000) [12 per cell]  2 Pa 2.21

---

The following is a GGA+U calculation of a geometry-optimized BaPaVO5 structure, from Alexandria via LeMat-Bulk.

Cell: 7.5138 10.1135 8.1386 Å, 90.00 114.23 90.00°
Last column: nearest neighbours and their distance in Å.
Space group C2/c (No. 15)
Inequivalent atoms, fractional coordinates:
Ba (0.0000, 0.1678, 0.2500) [4 per cell]  5 O 2.65-2.82
Pa (0.0000, 0.5000, 0.0000) [4 per cell]  6 O 2.16-2.22
V (0.0000, 0.1857, 0.7500) [4 per cell]  4 O 1.94-1.95
O (0.0000, 0.4295, 0.2500) [4 per cell]  2 Pa 2.16
O (0.0917, 0.2968, 0.6055) [8 per cell]  1 V 1.95
O (0.1945, 0.0611, 0.9014) [8 per cell]  1 V 1.94

---

Calculated density, respectively: 7.17, 5.88 g cm⁻³.
Density of states at the Fermi level, respectively: 0.387, 0.000 states/eV/atom.
Energy, respectively: -8.254, -8.406 eV per atom.